VASP calculation (PBE) on a relaxed structure of YAgRh2.

Output
Space-group type: Pmm2, No. 25

Unit cell a=3.102 b=3.971 c=5.856 alpha=90.00 beta=90.00 gamma=90.00
Element x y z (fractional)
Ag: 0.500 0.500 0.773
Rh: 0.000 0.000 0.013
Rh: 0.500 0.500 0.233
Y: 0.000 0.000 0.482

---

VASP calculation (PBE) on a relaxed structure of Y4AgRh2.

Output
Space-group type: P1, No. 1

Unit cell a=7.608 b=7.610 c=7.592 alpha=108.91 beta=108.90 gamma=110.71
Element x y z (fractional)
Y: 0.992 0.246 0.384
Y: 0.389 0.504 0.246
Y: 0.862 0.606 0.615
Y: 0.754 0.139 0.747
Y: 0.393 0.008 0.254
Y: 0.257 0.142 0.753
Y: 0.496 0.742 0.885
Y: 0.857 0.612 0.116
Ag: 0.251 0.750 0.500
Ag: 0.000 0.999 0.999
Rh: 0.493 0.375 0.618
Rh: 0.757 0.876 0.383
Rh: 0.625 0.243 0.117
Rh: 0.125 0.507 0.883

---

VASP calculation (PBE) on a relaxed structure of YAgRh.

Output
Space-group type: Imm2, No. 44

Unit cell a=5.321 b=5.321 c=5.321 alpha=142.37 beta=139.27 gamma=56.65
Element x y z (fractional)
Ag: 0.992 0.992 0.000
Rh: 0.331 0.331 0.000
Y: 0.677 0.677 0.000

---

VASP calculation (PBE) on a relaxed structure of YAgRh2.

Output
Space-group type: C2/m, No. 12

Unit cell a=5.293 b=5.293 c=3.036 alpha=77.64 beta=77.64 gamma=113.39
Element x y z (fractional)
Ag: 0.000 0.500 0.500
Rh: 0.000 0.000 0.000
Rh: 0.500 0.500 0.000
Y: 0.500 0.000 0.500

---

VASP calculation (PBE) on a relaxed structure of Y3AgRh2.

Output
Space-group type: P4/mmm, No. 123

Unit cell a=3.460 b=3.460 c=10.864 alpha=90.00 beta=90.00 gamma=90.00
Element x y z (fractional)
Y: 0.000 0.000 0.000
Y: 0.000 0.000 0.687
Y: 0.000 0.000 0.313
Ag: 0.500 0.500 0.500
Rh: 0.500 0.500 0.838
Rh: 0.500 0.500 0.162

---

VASP calculation (PBE) on a relaxed structure of YAgRh2.

Output
Space-group type: P4/mmm, No. 123

Unit cell a=3.411 b=3.411 c=6.178 alpha=90.00 beta=90.00 gamma=90.01
Element x y z (fractional)
Ag: 0.500 0.500 0.750
Rh: 0.000 0.000 0.986
Rh: 0.000 0.000 0.514
Y: 0.500 0.500 0.250

---

VASP calculation (PBE) on a relaxed structure of Y5AgRh4.

Output
Space-group type: P4/mmm, No. 123

Unit cell a=3.454 b=3.454 c=17.708 alpha=90.00 beta=90.00 gamma=90.00
Element x y z (fractional)
Y: 0.500 0.500 0.114
Y: 0.500 0.500 0.306
Y: 0.500 0.500 0.500
Y: 0.500 0.500 0.694
Y: 0.500 0.500 0.886
Ag: 0.000 0.000 0.000
Rh: 0.000 0.000 0.207
Rh: 0.000 0.000 0.403
Rh: 0.000 0.000 0.597
Rh: 0.000 0.000 0.793

---

VASP calculation (PBE) on a relaxed structure of Y6AgRh2.

Output
Space-group type: Immm, No. 71

Unit cell a=8.472 b=8.472 c=8.472 alpha=104.81 beta=110.88 gamma=112.83
Element x y z (fractional)
Y: 0.538 0.718 0.821
Y: 0.462 0.282 0.179
Y: 0.103 0.282 0.821
Y: 0.897 0.718 0.179
Y: 0.804 0.762 0.566
Y: 0.196 0.238 0.434
Y: 0.196 0.762 0.958
Y: 0.804 0.238 0.042
Y: 0.693 0.365 0.672
Y: 0.307 0.635 0.328
Y: 0.307 0.979 0.672
Y: 0.693 0.021 0.328
Ag: 0.000 0.500 0.500
Ag: 0.000 0.000 0.000
Rh: 0.500 0.370 0.870
Rh: 0.500 0.630 0.130
Rh: 0.665 0.000 0.665
Rh: 0.335 0.000 0.335

---

Uncorrected energy per entry: -6.187 -6.758 -5.949 -6.136 -6.832 -6.264 -7.200 -6.756 eV/atom